No. 1
The following is a DFT calculation (PBE) of crystalline YLuMg4 at its relaxed geometry.

abc: 6.0078 6.0078 6.0078
angles: 60.00 60.00 60.00
Positions (direct):
Y: 0.0000 0.0000 0.0000
Lu: 0.7500 0.7500 0.7500
Mg: 0.3750 0.3750 0.3750
Mg: 0.3750 0.3750 0.8751
Mg: 0.3750 0.8751 0.3750
Mg: 0.8751 0.3750 0.3750

Properties
Fermi-level density of states in states/eV per cell: 7.56
Raw total energy in eV/cell: -17.7
M_tot in μB per formula unit: 0.00

=====

No. 2
The following is a DFT calculation (PBE) of crystalline Y2LuMg at its relaxed geometry.

abc: 5.4057 5.4057 4.0270
angles: 90.00 90.00 90.00
Positions (direct):
Y: 0.0000 0.5000 0.0000
Y: 0.5000 0.0000 0.0000
Lu: 0.0000 0.0000 0.5000
Mg: 0.5000 0.5000 0.5000

Properties
Fermi-level density of states in states/eV per cell: 6.13
E above lowest polymorph in eV per atom: 0.054
M_tot in μB per formula unit: 0.00

=====

No. 3
The following is a DFT calculation (PBE) of crystalline YLuMgZn at its relaxed geometry.

abc: 5.1527 5.1527 5.1527
angles: 60.00 60.00 60.00
Positions (direct):
Y: 0.0000 0.0000 0.0000
Lu: 0.5000 0.5000 0.5000
Mg: 0.7500 0.7500 0.7500
Zn: 0.2500 0.2500 0.2500

Properties
Fermi-level density of states in states/eV per cell: 3.50
Raw total energy in eV/cell: -14.6
M_tot in μB per formula unit: 0.00

=====

No. 4
The following is a DFT calculation (PBE) of crystalline LuMgZn2 at its relaxed geometry.

abc: 4.7468 4.7468 3.5227
angles: 90.00 90.00 90.00
Positions (direct):
Lu: 0.0000 0.0000 0.0000
Mg: 0.5000 0.5000 0.0000
Zn: 0.0000 0.5000 0.5000
Zn: 0.5000 0.0000 0.5000

Properties
Fermi-level density of states in states/eV per cell: 1.37
E above lowest polymorph in eV per atom: 0.061
M_tot in μB per formula unit: 0.00

=====

No. 5
The following is a DFT calculation (PBE) of crystalline LuMgZn2 at its relaxed geometry.

abc: 4.7673 4.7673 4.7673
angles: 60.00 60.00 60.00
Positions (direct):
Lu: 0.0000 0.0000 0.0000
Mg: 0.5000 0.5000 0.5000
Zn: 0.2500 0.2500 0.2500
Zn: 0.7500 0.7500 0.7500

Properties
Fermi-level density of states in states/eV per cell: 1.09
E above lowest polymorph in eV per atom: 0.000
M_tot in μB per formula unit: 0.00

=====

No. 6
The following is a DFT calculation (PBE) of crystalline LuMgZn at its relaxed geometry.

abc: 6.4484 6.4484 6.4484
angles: 150.32 150.32 42.48
Positions (direct):
Lu: 0.0000 0.0000 0.0000
Mg: 0.7024 0.7024 0.0000
Zn: 0.3451 0.3451 0.0000

Properties
Fermi-level density of states in states/eV per cell: 1.71
Raw total energy in eV/cell: -7.9
M_tot in μB per formula unit: 0.00

=====

No. 7
The following is a DFT calculation (PBE) of crystalline LuMgZn at its relaxed geometry.

abc: 4.7755 4.7755 3.3408
angles: 90.00 90.00 120.00
Positions (direct):
Lu: 0.0000 0.0000 0.0000
Mg: 0.3333 0.6667 0.5000
Zn: 0.6667 0.3333 0.5000

Properties
Fermi-level density of states in states/eV per cell: 2.58
Raw total energy in eV/cell: -7.9
M_tot in μB per formula unit: 0.00

=====

No. 8
The following is a DFT calculation (PBE) of crystalline LuMg2Zr at its relaxed geometry.

abc: 5.1135 5.1135 5.1135
angles: 60.00 60.00 60.00
Positions (direct):
Lu: 0.0000 0.0000 0.0000
Mg: 0.2500 0.2500 0.2500
Mg: 0.7500 0.7500 0.7500
Zr: 0.5000 0.5000 0.5000

Properties
Fermi-level density of states in states/eV per cell: 2.99
E above lowest polymorph in eV per atom: 0.012
M_tot in μB per formula unit: 0.00

=====

No. 9
The following is a DFT calculation (PBE) of crystalline LuMg2Zr at its relaxed geometry.

abc: 3.5661 3.5661 7.4736
angles: 90.00 90.00 90.00
Positions (direct):
Lu: 0.0000 0.0000 0.0000
Mg: 0.5000 0.5000 0.2639
Mg: 0.5000 0.5000 0.7361
Zr: 0.0000 0.0000 0.5000

Properties
Fermi-level density of states in states/eV per cell: 4.12
E above lowest polymorph in eV per atom: 0.000
M_tot in μB per formula unit: 0.00

=====

No. 10
The following is a DFT calculation (PBE) of crystalline LuMgZr2 at its relaxed geometry.

abc: 4.5380 4.5380 4.6260
angles: 90.00 90.00 90.00
Positions (direct):
Lu: 0.0000 0.0000 0.0000
Mg: 0.5000 0.5000 0.0000
Zr: 0.0000 0.5000 0.5000
Zr: 0.5000 0.0000 0.5000

Properties
Fermi-level density of states in states/eV per cell: 6.12
E above lowest polymorph in eV per atom: 0.011
M_tot in μB per formula unit: 0.00

=====

No. 11
The following is a DFT calculation (PBE) of crystalline Lu2MgZr at its relaxed geometry.

abc: 3.3835 3.3835 9.1556
angles: 90.00 90.00 90.00
Positions (direct):
Lu: 0.0000 0.0000 0.2436
Lu: 0.0000 0.0000 0.7564
Mg: 0.5000 0.5000 0.5000
Zr: 0.5000 0.5000 0.0000

Properties
Fermi-level density of states in states/eV per cell: 4.06
E above lowest polymorph in eV per atom: 0.000
M_tot in μB per formula unit: 0.00

=====

No. 12
The following is a DFT calculation (PBE) of crystalline Lu2MgZr at its relaxed geometry.

abc: 4.6961 4.6961 4.6457
angles: 90.00 90.00 90.00
Positions (direct):
Lu: 0.0000 0.5000 0.0000
Lu: 0.5000 0.0000 0.0000
Mg: 0.0000 0.0000 0.5000
Zr: 0.5000 0.5000 0.5000

Properties
Fermi-level density of states in states/eV per cell: 6.53
E above lowest polymorph in eV per atom: 0.116
M_tot in μB per formula unit: 0.00

=====

No. 13
The following is a DFT calculation (PBE) of crystalline LuMg2Zr at its relaxed geometry.

abc: 10.8889 10.8889 10.8889
angles: 17.21 17.21 17.21
Positions (direct):
Lu: 0.0000 0.0000 0.0000
Mg: 0.2475 0.2475 0.2475
Mg: 0.7525 0.7525 0.7525
Zr: 0.5000 0.5000 0.5000

Properties
Fermi-level density of states in states/eV per cell: 3.65
E above lowest polymorph in eV per atom: 0.051
M_tot in μB per formula unit: 0.00

=====

No. 14
The following is a DFT calculation (PBE) of crystalline LuMg4Zr at its relaxed geometry.

abc: 5.8470 5.8470 5.8470
angles: 60.00 60.00 60.00
Positions (direct):
Lu: 0.0000 0.0000 0.0000
Mg: 0.3756 0.3756 0.3756
Mg: 0.3756 0.3756 0.8733
Mg: 0.3756 0.8733 0.3756
Mg: 0.8733 0.3756 0.3756
Zr: 0.7500 0.7500 0.7500

Properties
Fermi-level density of states in states/eV per cell: 7.27
Raw total energy in eV/cell: -19.0
M_tot in μB per formula unit: 2.35

=====

No. 15
The following is a DFT calculation (PBE) of crystalline LuMgZr2 at its relaxed geometry.

abc: 3.2328 3.2328 9.1611
angles: 90.00 90.00 90.00
Positions (direct):
Lu: 0.0000 0.0000 0.0000
Mg: 0.0000 0.0000 0.5000
Zr: 0.5000 0.5000 0.2555
Zr: 0.5000 0.5000 0.7445

Properties
Fermi-level density of states in states/eV per cell: 4.53
E above lowest polymorph in eV per atom: 0.000
M_tot in μB per formula unit: 0.00

=====

No. 16
The following is a DFT calculation (PBE) of crystalline LuMn6 at its relaxed geometry.

abc: 5.2452 5.2452 5.2452
angles: 109.47 109.47 109.47
Positions (direct):
Lu: 0.0000 0.0000 0.0000
Mn: 0.2500 0.5000 0.7500
Mn: 0.2500 0.7500 0.5000
Mn: 0.5000 0.2500 0.7500
Mn: 0.5000 0.7500 0.2500
Mn: 0.7500 0.2500 0.5000
Mn: 0.7500 0.5000 0.2500

Properties
Fermi-level density of states in states/eV per cell: 5.89
Raw total energy in eV/cell: -54.7
M_tot in μB per formula unit: 0.00

=====

No. 17
The following is a DFT calculation (PBE) of crystalline Lu6Mn23 at its relaxed geometry.

abc: 8.3866 8.3866 8.3866
angles: 60.00 60.00 60.00
Positions (direct):
Lu: 0.2046 0.2046 0.7954
Lu: 0.2046 0.7954 0.2046
Lu: 0.2046 0.7954 0.7954
Lu: 0.7954 0.2046 0.2046
Lu: 0.7954 0.2046 0.7954
Lu: 0.7954 0.7954 0.2046
Mn: 0.0000 0.0000 0.5000
Mn: 0.0000 0.5000 0.0000
Mn: 0.0000 0.5000 0.5000
Mn: 0.1356 0.6215 0.6215
Mn: 0.1766 0.1766 0.1766
Mn: 0.1766 0.1766 0.4703
Mn: 0.1766 0.4703 0.1766
Mn: 0.3785 0.3785 0.3785
Mn: 0.3785 0.3785 0.8644
Mn: 0.3785 0.8644 0.3785
Mn: 0.4703 0.1766 0.1766
Mn: 0.5000 0.0000 0.0000
Mn: 0.5000 0.0000 0.5000
Mn: 0.5000 0.5000 0.0000
Mn: 0.5000 0.5000 0.5000
Mn: 0.5297 0.8234 0.8234
Mn: 0.6215 0.1356 0.6215
Mn: 0.6215 0.6215 0.1356
Mn: 0.6215 0.6215 0.6215
Mn: 0.8234 0.5297 0.8234
Mn: 0.8234 0.8234 0.5297
Mn: 0.8234 0.8234 0.8234
Mn: 0.8644 0.3785 0.3785

Properties
Fermi-level density of states in states/eV per cell: 29.47
Raw total energy in eV/cell: -238.9
M_tot in μB per formula unit: 12.95

=====

No. 18
The following is a DFT calculation (PBE) of crystalline LuMn2Mo at its relaxed geometry.

abc: 3.0774 3.0774 6.4876
angles: 90.00 90.00 90.00
Positions (direct):
Lu: 0.0000 0.0000 0.0000
Mn: 0.5000 0.5000 0.2876
Mn: 0.5000 0.5000 0.7124
Mo: 0.0000 0.0000 0.5000

Properties
Fermi-level density of states in states/eV per cell: 2.71
Raw total energy in eV/cell: -33.1
M_tot in μB per formula unit: 0.59

=====

No. 19
The following is a DFT calculation (PBE) of crystalline LuPuMnMo at its relaxed geometry.

abc: 4.7764 4.7764 4.7764
angles: 60.00 60.00 60.00
Positions (direct):
Lu: 0.0000 0.0000 0.0000
Pu: 0.5000 0.5000 0.5000
Mn: 0.7500 0.7500 0.7500
Mo: 0.2500 0.2500 0.2500

Properties
Fermi-level density of states in states/eV per cell: 6.51
Raw total energy in eV/cell: -38.0
M_tot in μB per formula unit: 1.32

=====

No. 20
The following is a DFT calculation (PBE) of crystalline Lu3Mn5N12 at its relaxed geometry.

abc: 10.4526 10.4526 10.4526
angles: 109.47 109.47 109.47
Positions (direct):
Lu: 0.1250 0.2500 0.3750
Lu: 0.1250 0.3750 0.7500
Lu: 0.2500 0.3750 0.1250
Lu: 0.2500 0.8750 0.6250
Lu: 0.3750 0.1250 0.2500
Lu: 0.3750 0.7500 0.1250
Lu: 0.6250 0.2500 0.8750
Lu: 0.6250 0.8750 0.7500
Lu: 0.7500 0.1250 0.3750
Lu: 0.7500 0.6250 0.8750
Lu: 0.8750 0.6250 0.2500
Lu: 0.8750 0.7500 0.6250
Mn: 0.0000 0.0000 0.0000
Mn: 0.0000 0.0000 0.5000
Mn: 0.0000 0.5000 0.0000
Mn: 0.0000 0.5000 0.5000
Mn: 0.1250 0.7500 0.8750
Mn: 0.1250 0.8750 0.2500
Mn: 0.2500 0.1250 0.8750
Mn: 0.2500 0.6250 0.3750
Mn: 0.3750 0.2500 0.6250
Mn: 0.3750 0.6250 0.7500
Mn: 0.5000 0.0000 0.0000
Mn: 0.5000 0.0000 0.5000
Mn: 0.5000 0.5000 0.0000
Mn: 0.5000 0.5000 0.5000
Mn: 0.6250 0.3750 0.2500
Mn: 0.6250 0.7500 0.3750
Mn: 0.7500 0.3750 0.6250
Mn: 0.7500 0.8750 0.1250
Mn: 0.8750 0.1250 0.7500
Mn: 0.8750 0.2500 0.1250
N: 0.0163 0.2034 0.1157
N: 0.0163 0.3129 0.9005
N: 0.0876 0.7034 0.6871
N: 0.0876 0.8843 0.4005
N: 0.0995 0.6157 0.4124
N: 0.0995 0.9837 0.6871
N: 0.1157 0.0163 0.2034
N: 0.1157 0.5995 0.9124
N: 0.1871 0.2034 0.5876
N: 0.1871 0.4837 0.5995
N: 0.2034 0.1157 0.0163
N: 0.2034 0.5876 0.1871
N: 0.2966 0.3129 0.9124
N: 0.2966 0.4837 0.3843
N: 0.3129 0.9005 0.0163
N: 0.3129 0.9124 0.2966
N: 0.3843 0.2966 0.4837
N: 0.3843 0.5876 0.9005
N: 0.4005 0.0876 0.8843
N: 0.4005 0.8129 0.5163
N: 0.4124 0.0995 0.6157
N: 0.4124 0.8129 0.7966
N: 0.4837 0.3843 0.2966
N: 0.4837 0.5995 0.1871
N: 0.5163 0.4005 0.8129
N: 0.5163 0.6157 0.7034
N: 0.5876 0.1871 0.2034
N: 0.5876 0.9005 0.3843
N: 0.5995 0.1871 0.4837
N: 0.5995 0.9124 0.1157
N: 0.6157 0.4124 0.0995
N: 0.6157 0.7034 0.5163
N: 0.6871 0.0876 0.7034
N: 0.6871 0.0995 0.9837
N: 0.7034 0.5163 0.6157
N: 0.7034 0.6871 0.0876
N: 0.7966 0.4124 0.8129
N: 0.7966 0.8843 0.9837
N: 0.8129 0.5163 0.4005
N: 0.8129 0.7966 0.4124
N: 0.8843 0.4005 0.0876
N: 0.8843 0.9837 0.7966
N: 0.9005 0.0163 0.3129
N: 0.9005 0.3843 0.5876
N: 0.9124 0.1157 0.5995
N: 0.9124 0.2966 0.3129
N: 0.9837 0.6871 0.0995
N: 0.9837 0.7966 0.8843

Properties
Uncorrected formation energy in eV/atom: -0.501
Fermi-level density of states in states/eV per cell: 27.53
M_tot in μB per formula unit: 6.56

=====

No. 21
The following is a DFT calculation (PBE) of crystalline NaLu2Mn at its relaxed geometry.

abc: 3.3017 3.3017 9.3041
angles: 90.00 90.00 90.00
Positions (direct):
Na: 0.0000 0.0000 0.0000
Lu: 0.5000 0.5000 0.3267
Lu: 0.5000 0.5000 0.6733
Mn: 0.0000 0.0000 0.5000

Properties
Fermi-level density of states in states/eV per cell: 4.32
Raw total energy in eV/cell: -19.0
M_tot in μB per formula unit: 1.12

=====

No. 22
The following is a DFT calculation (PBE) of crystalline LuMn2Nb at its relaxed geometry.

abc: 3.1618 3.1618 6.5259
angles: 90.00 90.00 90.00
Positions (direct):
Lu: 0.0000 0.0000 0.0000
Mn: 0.5000 0.5000 0.2847
Mn: 0.5000 0.5000 0.7153
Nb: 0.0000 0.0000 0.5000

Properties
Fermi-level density of states in states/eV per cell: 4.83
E above lowest polymorph in eV per atom: 0.000
M_tot in μB per formula unit: 1.56

=====

No. 23
The following is a DFT calculation (PBE) of crystalline LuMn2Nb at its relaxed geometry.

abc: 4.5135 4.5135 3.1482
angles: 90.00 90.00 90.00
Positions (direct):
Lu: 0.0000 0.0000 0.0000
Mn: 0.0000 0.5000 0.5000
Mn: 0.5000 0.0000 0.5000
Nb: 0.5000 0.5000 0.0000

Properties
Fermi-level density of states in states/eV per cell: 5.23
E above lowest polymorph in eV per atom: 0.094
M_tot in μB per formula unit: 1.63

=====

No. 24
The following is a DFT calculation (PBE) of crystalline LuMnNb at its relaxed geometry.

abc: 5.7806 5.7806 5.7806
angles: 147.79 147.79 46.19
Positions (direct):
Lu: 0.0000 0.0000 0.0000
Mn: 0.6770 0.6770 0.0000
Nb: 0.2938 0.2938 0.0000

Properties
Fermi-level density of states in states/eV per cell: 3.88
Raw total energy in eV/cell: -23.4
M_tot in μB per formula unit: 0.00